# FeP2O, relaxed, DFT GGA+U
# Final energy: -5.3692 eV per atom
# Density of states at the Fermi level: 0.000 states/eV/atom
# Spin magnetization: 0.0 μB per cell
data_FeP2O
_space_group_name_H-M_alt 'I m m 2'
_space_group_IT_number 44
_cell_length_a 2.6921
_cell_length_b 5.6729
_cell_length_c 6.0654
_cell_angle_alpha 90.00
_cell_angle_beta 90.00
_cell_angle_gamma 90.00
loop_
_space_group_symop_operation_xyz
'x,y,z'
'-x,-y,z'
'-x,y,z'
'x,-y,z'
'x+1/2,y+1/2,z+1/2'
'-x+1/2,-y+1/2,z+1/2'
'-x+1/2,y+1/2,z+1/2'
'x+1/2,-y+1/2,z+1/2'
loop_
_atom_site_label
_atom_site_fract_x
_atom_site_fract_y
_atom_site_fract_z
Fe1 0.0000 0.0000 0.0000
P1 0.0000 0.2400 0.6795
O1 0.0000 0.0000 0.5198